A relaxed K2FeOs crystal, computed with PBE.

Cell: 5.4653 5.4653 5.4653 Å, 60.00 60.00 60.00°
With the nearest neighbours (Å) after each atom.
Element x y z (fractional)
K: 0.2500 0.2500 0.2500  4 Os 3.35, 4 Fe 3.35
K: 0.7500 0.7500 0.7500  4 Os 3.35, 4 Fe 3.35
Os: 0.5000 0.5000 0.5000  8 K 3.35
Fe: 0.0000 0.0000 0.0000  8 K 3.35

Computed properties:
distance to the lowest polymorph of the same formula	1256	meV per atom
SG	No. 225
total magnetic moment	5.95	Bohr magnetons per cell
electronic total energy	-3.44	eV/atom
energy of formation from the pure elements	2.03	eV per atom
ρ	4.7	Mg/m³



A relaxed TiMnPOsS crystal, computed with PBE.

Cell: 3.1197 4.0194 6.5256 Å, 73.69 82.89 76.09°
With the nearest neighbours (Å) after each atom.
Element x y z (fractional)
Ti: 0.1465 0.9373 0.2576  3 S 2.43-2.60, 1 Mn 2.62, 2 Os 2.65-2.70, 1 P 2.70
Mn: 0.7562 0.1784 0.8963  2 S 2.32-2.38, 2 P 2.35-2.39
P: 0.2471 0.4034 0.6188  3 Os 2.27-2.34, 2 Mn 2.35-2.39
Os: 0.6005 0.8450 0.6028  3 P 2.27-2.34
S: 0.7723 0.5959 0.0908  2 Mn 2.32-2.38, 2 Ti 2.43-2.52

Computed properties:
ΔE_f (raw)	-383	meV per atom
distance to the lowest polymorph of the same formula	149	meV per atom
SG	No. 1
total magnetic moment	1.83	Bohr magnetons per cell
electronic total energy	-7.95	eV/atom
ρ	7.8	Mg/m³



A relaxed KTlP2Pt4 crystal, computed with PBE.

Cell: 3.9853 3.9853 10.9960 Å, 90.00 90.00 90.00°
With the nearest neighbours (Å) after each atom.
Element x y z (fractional)
K: 0.0000 0.0000 0.5000  8 P 3.46, 8 Pt 3.77
Tl: 0.0000 0.0000 0.0000  8 Pt 3.04
P: 0.5000 0.5000 0.3173  4 Pt 2.32
P: 0.5000 0.5000 0.6827  4 Pt 2.32
Pt: 0.0000 0.5000 0.2086  2 P 2.32
Pt: 0.5000 0.0000 0.7914  2 P 2.32
Pt: 0.5000 0.0000 0.2086  2 P 2.32
Pt: 0.0000 0.5000 0.7914  2 P 2.32

Computed properties:
SG	No. 123
total magnetic moment	0.00	Bohr magnetons per cell
electronic total energy	-5.25	eV/atom
energy of formation from the pure elements	-0.44	eV per atom
ρ	10.3	Mg/m³



A relaxed KIr2Pb crystal, computed with PBE.

Cell: 5.1369 5.1369 6.5629 Å, 79.19 79.19 35.33°
With the nearest neighbours (Å) after each atom.
Element x y z (fractional)
Ir: 0.0165 0.0165 0.9023  2 Ir 2.60, 2 Pb 2.78
Ir: 0.4835 0.4835 0.5977  2 Ir 2.60, 2 Pb 2.78
K: 0.2500 0.2500 0.2500  2 K 3.12, 4 Ir 3.48
Pb: 0.7500 0.7500 0.7500  6 Ir 2.78-2.97, 2 Pb 3.12

Computed properties:
SG	No. 12
total magnetic moment	0.00	Bohr magnetons per cell
electronic total energy	-4.92	eV/atom
energy of formation from the pure elements	0.72	eV per atom
ρ	10.7	Mg/m³



A relaxed Mo2AuI crystal, computed with PBE.

Cell: 4.6455 4.6455 4.6455 Å, 60.00 60.00 60.00°
With the nearest neighbours (Å) after each atom.
Element x y z (fractional)
I: 0.0000 0.0000 0.0000  8 Mo 2.84
Mo: 0.2500 0.2500 0.2500  4 Au 2.84, 4 I 2.84
Mo: 0.7500 0.7500 0.7500  4 Au 2.84, 4 I 2.84
Au: 0.5000 0.5000 0.5000  8 Mo 2.84

Computed properties:
ΔE_f (raw)	824	meV per atom
distance to the lowest polymorph of the same formula	0	meV per atom
SG	No. 225
total magnetic moment	0.00	Bohr magnetons per cell
electronic total energy	-5.80	eV/atom
ρ	12.1	Mg/m³



A relaxed K2RbSrNb crystal, computed with PBE.

Cell: 6.6166 6.5009 6.6166 Å, 90.00 90.00 90.00°
With the nearest neighbours (Å) after each atom.
Element x y z (fractional)
Sr: 0.5000 0.5000 0.5000  8 K 4.64, 4 Nb 4.68
Nb: 0.0000 0.5000 0.0000  2 Rb 3.25
K: 0.0000 0.0000 0.5000  2 Rb 3.31
K: 0.5000 0.0000 0.0000  2 Rb 3.31
Rb: 0.0000 0.0000 0.0000  2 Nb 3.25, 4 K 3.31

Computed properties:
SG	No. 123
total magnetic moment	5.03	Bohr magnetons per cell
electronic total energy	-1.74	eV/atom
energy of formation from the pure elements	1.25	eV per atom
ρ	2.0	Mg/m³



A relaxed TaBi2S6 crystal, computed with PBE.

Cell: 6.2447 6.2447 12.0556 Å, 90.00 90.00 90.00°
With the nearest neighbours (Å) after each atom.
Element x y z (fractional)
Ta: 0.0000 0.0000 0.0000  6 S 2.42-2.51
Ta: 0.5000 0.5000 0.5000  6 S 2.42-2.51
Bi: 0.0000 0.0000 0.3338  6 S 2.77-2.79
Bi: 0.5000 0.5000 0.8338  6 S 2.77-2.79
Bi: 0.5000 0.5000 0.1662  6 S 2.77-2.79
Bi: 0.0000 0.0000 0.6662  6 S 2.77-2.79
S: 0.3145 0.3145 0.3522  1 Ta 2.42
S: 0.6855 0.6855 0.3522  1 Ta 2.42
S: 0.1855 0.8145 0.8522  1 Ta 2.42
S: 0.8145 0.1855 0.8522  1 Ta 2.42
S: 0.1855 0.8145 0.1478  1 Ta 2.42
S: 0.8145 0.1855 0.1478  1 Ta 2.42
S: 0.3145 0.3145 0.6478  1 Ta 2.42
S: 0.6855 0.6855 0.6478  1 Ta 2.42
S: 0.2842 0.2842 0.0000  1 Ta 2.51, 2 Bi 2.77
S: 0.7158 0.7158 0.0000  1 Ta 2.51, 2 Bi 2.77
S: 0.2158 0.7842 0.5000  1 Ta 2.51, 2 Bi 2.77
S: 0.7842 0.2158 0.5000  1 Ta 2.51, 2 Bi 2.77

Computed properties:
ΔE_f (raw)	-365	meV per atom
SG	No. 136
total magnetic moment	0.00	Bohr magnetons per cell
electronic total energy	-5.30	eV/atom
ρ	5.6	Mg/m³



A relaxed TbMgAs2 crystal, computed with PBE.

Cell: 3.7434 4.7661 4.7661 Å, 90.00 90.00 90.00°
With the nearest neighbours (Å) after each atom.
Element x y z (fractional)
As: 0.0000 0.0000 0.5000  4 Tb 3.03, 4 Mg 3.03, 4 As 3.37
As: 0.0000 0.5000 0.0000  4 Tb 3.03, 4 Mg 3.03, 4 As 3.37
Tb: 0.5000 0.5000 0.5000  8 As 3.03, 4 Mg 3.37
Mg: 0.5000 0.0000 0.0000  8 As 3.03, 4 Tb 3.37

Computed properties:
distance to the lowest polymorph of the same formula	119	meV per atom
SG	No. 123
total magnetic moment	0.00	Bohr magnetons per cell
electronic total energy	-4.62	eV/atom
energy of formation from the pure elements	-0.74	eV per atom
ρ	6.5	Mg/m³



A relaxed Ac2SmIn crystal, computed with PBE.

Cell: 5.1624 5.2436 5.2436 Å, 90.00 90.00 90.00°
With the nearest neighbours (Å) after each atom.
Element x y z (fractional)
Ac: 0.0000 0.0000 0.5000  4 Sm 3.68, 4 In 3.68, 4 Ac 3.71
Ac: 0.0000 0.5000 0.0000  4 Sm 3.68, 4 In 3.68, 4 Ac 3.71
Sm: 0.5000 0.5000 0.5000  8 Ac 3.68, 4 In 3.71
In: 0.5000 0.0000 0.0000  8 Ac 3.68, 4 Sm 3.71

Computed properties:
distance to the lowest polymorph of the same formula	23	meV per atom
SG	No. 123
total magnetic moment	0.00	Bohr magnetons per cell
electronic total energy	-4.10	eV/atom
energy of formation from the pure elements	-0.18	eV per atom
ρ	8.4	Mg/m³



A relaxed K3TlRu2O8 crystal, computed with PBE.

Cell: 6.2842 6.2842 8.1913 Å, 90.00 90.00 120.00°
With the nearest neighbours (Å) after each atom.
Element x y z (fractional)
K: 0.3333 0.6667 0.6678  1 O 2.56
K: 0.6667 0.3333 0.3322  1 O 2.56
K: 0.0000 0.0000 0.0000  6 O 3.02
Tl: 0.0000 0.0000 0.5000  6 O 2.66
Ru: 0.3333 0.6667 0.1958  4 O 1.77-1.81
Ru: 0.6667 0.3333 0.8042  4 O 1.77-1.81
O: 0.3333 0.6667 0.9798  1 Ru 1.77
O: 0.6667 0.3333 0.0202  1 Ru 1.77
O: 0.1796 0.8204 0.2803  1 Ru 1.81
O: 0.8204 0.1796 0.7197  1 Ru 1.81
O: 0.1796 0.3593 0.2803  1 Ru 1.81
O: 0.8204 0.6407 0.7197  1 Ru 1.81
O: 0.6407 0.8204 0.2803  1 Ru 1.81
O: 0.3593 0.1796 0.7197  1 Ru 1.81

Computed properties:
ΔE_f (raw)	-1166	meV per atom
SG	No. 164
total magnetic moment	4.00	Bohr magnetons per cell
electronic total energy	-5.73	eV/atom
ρ	3.9	Mg/m³



A relaxed Na2NbHPd crystal, computed with PBE.

Cell: 3.9404 5.6117 3.9404 Å, 90.00 90.00 90.00°
With the nearest neighbours (Å) after each atom.
Element x y z (fractional)
Na: 0.0000 0.0000 0.5000  2 H 1.97
Na: 0.5000 0.0000 0.0000  2 H 1.97
Nb: 0.5000 0.5000 0.5000  4 Pd 2.79
Pd: 0.0000 0.5000 0.0000  4 Nb 2.79, 2 H 2.81
H: 0.0000 0.0000 0.0000  4 Na 1.97

Computed properties:
SG	No. 123
total magnetic moment	1.54	Bohr magnetons per cell
electronic total energy	-3.57	eV/atom
ρ	4.7	Mg/m³



A relaxed Ce2Ga5Cu2 crystal, computed with PBE.

Cell: 4.2269 4.2269 9.6616 Å, 90.00 90.00 90.00°
With the nearest neighbours (Å) after each atom.
Element x y z (fractional)
Ce: 0.0000 0.0000 0.0000  8 Cu 3.21, 8 Ga 3.31
Ce: 0.0000 0.0000 0.5000  12 Ga 2.99-3.11
Ga: 0.5000 0.0000 0.2641  2 Cu 2.52
Ga: 0.5000 0.0000 0.7359  2 Cu 2.52
Ga: 0.0000 0.5000 0.2641  2 Cu 2.52
Ga: 0.0000 0.5000 0.7359  2 Cu 2.52
Ga: 0.5000 0.5000 0.5000  4 Ce 2.99, 8 Ga 3.11
Cu: 0.5000 0.5000 0.1221  1 Cu 2.36, 4 Ga 2.52
Cu: 0.5000 0.5000 0.8779  1 Cu 2.36, 4 Ga 2.52

Computed properties:
SG	No. 123
total magnetic moment	0.25	Bohr magnetons per cell
electronic total energy	-4.29	eV/atom
energy of formation from the pure elements	-0.38	eV per atom
ρ	7.3	Mg/m³